This record from Alexandria via LeMat-Bulk describes La2NdErSc after structural relaxation. The functional is GGA-PBE.

```
data_La2NdErSc
_chemical_formula_sum 'La8 Nd4 Er4 Sc4'
_space_group_name_H-M_alt 'C m c m'
_space_group_IT_number 63
_space_group_name_Hall '-C 2c 2'
_cell_length_a 6.501
_cell_length_b 16.012
_cell_length_c 6.507
_cell_angle_alpha 90.00
_cell_angle_beta 90.00
_cell_angle_gamma 90.00
loop_
_atom_site_label
_atom_site_fract_x
_atom_site_fract_y
_atom_site_fract_z
_atom_site_occupancy
La1 0.247 0.000 0.000 1
Nd1 0.000 0.337 0.250 1
Er1 0.000 0.247 0.750 1
Sc1 0.000 0.155 0.250 1
```

Computed properties:
crystal system = orthorhombic
formation enthalpy at 0 K = 0.3677 eV per atom

=====

This record from Alexandria via LeMat-Bulk describes La2NdErSe5 after structural relaxation. The functional is GGA-PBE.

```
data_La2NdErSe5
_chemical_formula_sum 'La8 Nd4 Er4 Se20'
_space_group_name_H-M_alt 'C m c 21'
_space_group_IT_number 36
_space_group_name_Hall 'C 2c -2'
_cell_length_a 4.153
_cell_length_b 17.631
_cell_length_c 14.051
_cell_angle_alpha 90.00
_cell_angle_beta 90.00
_cell_angle_gamma 90.00
loop_
_atom_site_label
_atom_site_fract_x
_atom_site_fract_y
_atom_site_fract_z
_atom_site_occupancy
La1 0.000 0.082 0.000 1
La2 0.000 0.135 0.667 1
Nd1 0.000 0.446 0.810 1
Er1 0.000 0.233 0.399 1
Se1 0.000 0.081 0.447 1
Se2 0.000 0.253 0.044 1
Se3 0.000 0.288 0.761 1
Se4 0.000 0.386 0.343 1
Se5 0.000 0.496 0.121 1
```

Computed properties:
crystal system = orthorhombic

=====

This record from Alexandria via LeMat-Bulk describes La4Nd3ErSe8 after structural relaxation. The functional is GGA-PBE.

```
data_La4Nd3ErSe8
_chemical_formula_sum 'La12 Nd9 Er3 Se24'
_space_group_name_H-M_alt 'R -3 m'
_space_group_IT_number 166
_space_group_name_Hall '-R 3 2"'
_cell_length_a 8.5030
_cell_length_b 8.5030
_cell_length_c 20.7916
_cell_angle_alpha 90.00
_cell_angle_beta 90.00
_cell_angle_gamma 120.00
loop_
_atom_site_label
_atom_site_fract_x
_atom_site_fract_y
_atom_site_fract_z
_atom_site_occupancy
La1 0.0000 0.0000 0.0000 1
La2 0.0000 0.5000 0.0000 1
Nd1 0.0000 0.5000 0.5000 1
Er1 0.0000 0.0000 0.5000 1
Se1 0.0000 0.0000 0.2485 1
Se2 0.0091 0.5045 0.2462 1
```

Computed properties:
crystal system = trigonal

=====

This record from Alexandria via LeMat-Bulk describes La4NdEr3Se8 after structural relaxation. The functional is GGA-PBE.

```
data_La4NdEr3Se8
_chemical_formula_sum 'La12 Nd3 Er9 Se24'
_space_group_name_H-M_alt 'R -3 m'
_space_group_IT_number 166
_space_group_name_Hall '-R 3 2"'
_cell_length_a 8.3543
_cell_length_b 8.3543
_cell_length_c 20.8070
_cell_angle_alpha 90.00
_cell_angle_beta 90.00
_cell_angle_gamma 120.00
loop_
_atom_site_label
_atom_site_fract_x
_atom_site_fract_y
_atom_site_fract_z
_atom_site_occupancy
La1 0.0000 0.0000 0.0000 1
La2 0.0000 0.5000 0.0000 1
Nd1 0.0000 0.0000 0.5000 1
Er1 0.0000 0.5000 0.5000 1
Se1 0.0000 0.0000 0.2423 1
Se2 0.0086 0.5043 0.7558 1
```

Computed properties:
crystal system = trigonal

=====

This record from Alexandria via LeMat-Bulk describes La2Nd3ErSe6 after structural relaxation. The functional is GGA-PBE.

```
data_La2Nd3ErSe6
_chemical_formula_sum 'La4 Nd6 Er2 Se12'
_space_group_name_H-M_alt 'C 1 2/m 1'
_space_group_IT_number 12
_space_group_name_Hall '-C 2y'
_cell_length_a 18.397
_cell_length_b 4.206
_cell_length_c 8.511
_cell_angle_alpha 90.00
_cell_angle_beta 103.15
_cell_angle_gamma 90.00
loop_
_atom_site_label
_atom_site_fract_x
_atom_site_fract_y
_atom_site_fract_z
_atom_site_occupancy
La1 0.167 0.000 0.334 1
Nd1 0.000 0.500 0.500 1
Nd2 0.170 0.000 0.835 1
Er1 0.000 0.500 0.000 1
Se1 0.003 0.000 0.764 1
Se2 0.160 0.500 0.077 1
Se3 0.165 0.500 0.587 1
```

Computed properties:
crystal system = monoclinic

=====

This record from Alexandria via LeMat-Bulk describes La3Nd3ErSe8 after structural relaxation. The functional is GGA-PBE.

```
data_La3Nd3ErSe8
_chemical_formula_sum 'La9 Nd9 Er3 Se24'
_space_group_name_H-M_alt 'R -3 m'
_space_group_IT_number 166
_space_group_name_Hall '-R 3 2"'
_cell_length_a 8.4684
_cell_length_b 8.4684
_cell_length_c 20.9652
_cell_angle_alpha 90.00
_cell_angle_beta 90.00
_cell_angle_gamma 120.00
loop_
_atom_site_label
_atom_site_fract_x
_atom_site_fract_y
_atom_site_fract_z
_atom_site_occupancy
La1 0.0000 0.5000 0.0000 1
Nd1 0.0000 0.5000 0.5000 1
Er1 0.0000 0.0000 0.5000 1
Se1 0.0000 0.0000 0.2486 1
Se2 0.0093 0.5046 0.2462 1
```

Computed properties:
crystal system = trigonal

=====

This record from Alexandria via LeMat-Bulk describes LaNd2ErSe4 after structural relaxation. The functional is GGA-PBE.

```
data_LaNd2ErSe4
_chemical_formula_sum 'La1 Nd2 Er1 Se4'
_space_group_name_H-M_alt 'P 1 2/m 1'
_space_group_IT_number 10
_space_group_name_Hall '-P 2y'
_cell_length_a 7.282
_cell_length_b 4.151
_cell_length_c 7.358
_cell_angle_alpha 90.00
_cell_angle_beta 108.78
_cell_angle_gamma 90.00
loop_
_atom_site_label
_atom_site_fract_x
_atom_site_fract_y
_atom_site_fract_z
_atom_site_occupancy
La1 0.000 0.000 0.000 1
Nd1 0.500 0.000 0.500 1
Nd2 0.500 0.500 0.000 1
Er1 0.000 0.500 0.500 1
Se1 0.238 0.000 0.736 1
Se2 0.247 0.500 0.260 1
```

Computed properties:
crystal system = monoclinic

=====

This record from Alexandria via LeMat-Bulk describes LaNd2ErSe5 after structural relaxation. The functional is GGA-PBE.

```
data_LaNd2ErSe5
_chemical_formula_sum 'La1 Nd2 Er1 Se5'
_space_group_name_H-M_alt 'P 4/m m m'
_space_group_IT_number 123
_space_group_name_Hall '-P 4 2'
_cell_length_a 5.105
_cell_length_b 5.105
_cell_length_c 11.011
_cell_angle_alpha 90.00
_cell_angle_beta 90.00
_cell_angle_gamma 90.00
loop_
_atom_site_label
_atom_site_fract_x
_atom_site_fract_y
_atom_site_fract_z
_atom_site_occupancy
La1 0.000 0.000 0.000 1
Nd1 0.500 0.500 0.328 1
Er1 0.000 0.000 0.500 1
Se1 0.000 0.000 0.252 1
Se2 0.000 0.500 0.500 1
Se3 0.500 0.500 0.000 1
```

Computed properties:
crystal system = tetragonal

=====

This record from Alexandria via LeMat-Bulk describes La2Nd4SmEr after structural relaxation. The functional is GGA-PBE.

```
data_La2Nd4SmEr
_chemical_formula_sum 'La2 Nd4 Sm1 Er1'
_space_group_name_H-M_alt 'P 1 2/m 1'
_space_group_IT_number 10
_space_group_name_Hall '-P 2y'
_cell_length_a 5.173
_cell_length_b 5.189
_cell_length_c 10.427
_cell_angle_alpha 90.00
_cell_angle_beta 90.10
_cell_angle_gamma 90.00
loop_
_atom_site_label
_atom_site_fract_x
_atom_site_fract_y
_atom_site_fract_z
_atom_site_occupancy
La1 0.000 0.000 0.000 1
La2 0.500 0.500 0.500 1
Nd1 0.000 0.500 0.248 1
Nd2 0.500 0.000 0.249 1
Sm1 0.000 0.000 0.500 1
Er1 0.500 0.500 0.000 1
```

Computed properties:
crystal system = monoclinic
formation enthalpy at 0 K = 0.0209 eV per atom

=====

This record from Alexandria via LeMat-Bulk describes La2Nd2SmEr after structural relaxation. The functional is GGA-PBE.

```
data_La2Nd2SmEr
_chemical_formula_sum 'La4 Nd4 Sm2 Er2'
_space_group_name_H-M_alt 'P m m a'
_space_group_IT_number 51
_space_group_name_Hall '-P 2a 2a'
_cell_length_a 7.151
_cell_length_b 5.791
_cell_length_c 10.012
_cell_angle_alpha 90.00
_cell_angle_beta 90.00
_cell_angle_gamma 90.00
loop_
_atom_site_label
_atom_site_fract_x
_atom_site_fract_y
_atom_site_fract_z
_atom_site_occupancy
La1 0.000 0.000 0.000 1
La2 0.250 0.500 0.177 1
Nd1 0.250 0.000 0.333 1
Nd2 0.250 0.500 0.835 1
Sm1 0.250 0.000 0.658 1
Er1 0.000 0.500 0.500 1
```

Computed properties:
crystal system = orthorhombic
formation enthalpy at 0 K = 0.0516 eV per atom

=====

This record from Alexandria via LeMat-Bulk describes La4NdSmEr2 after structural relaxation. The functional is GGA-PBE.

```
data_La4NdSmEr2
_chemical_formula_sum 'La4 Nd1 Sm1 Er2'
_space_group_name_H-M_alt 'P 1 2/m 1'
_space_group_IT_number 10
_space_group_name_Hall '-P 2y'
_cell_length_a 6.347
_cell_length_b 3.679
_cell_length_c 12.002
_cell_angle_alpha 90.00
_cell_angle_beta 100.13
_cell_angle_gamma 90.00
loop_
_atom_site_label
_atom_site_fract_x
_atom_site_fract_y
_atom_site_fract_z
_atom_site_occupancy
La1 0.245 0.000 0.247 1
La2 0.248 0.500 0.749 1
Nd1 0.500 0.500 0.500 1
Sm1 0.500 0.000 0.000 1
Er1 0.000 0.000 0.500 1
Er2 0.000 0.500 0.000 1
```

Computed properties:
crystal system = monoclinic
formation enthalpy at 0 K = 0.0108 eV per atom

=====

This record from Alexandria via LeMat-Bulk describes LaNd6SmEr2 after structural relaxation. The functional is GGA-PBE.

```
data_LaNd6SmEr2
_chemical_formula_sum 'La4 Nd24 Sm4 Er8'
_space_group_name_H-M_alt 'C 1 2/c 1'
_space_group_IT_number 15
_space_group_name_Hall '-C 2yc'
_cell_length_a 9.362
_cell_length_b 15.308
_cell_length_c 9.797
_cell_angle_alpha 90.00
_cell_angle_beta 97.79
_cell_angle_gamma 90.00
loop_
_atom_site_label
_atom_site_fract_x
_atom_site_fract_y
_atom_site_fract_z
_atom_site_occupancy
La1 0.000 0.094 0.250 1
Nd1 0.066 0.325 0.444 1
Nd2 0.096 0.108 0.620 1
Nd3 0.209 0.274 0.819 1
Sm1 0.000 0.468 0.750 1
Er1 0.244 0.452 0.048 1
```

Computed properties:
crystal system = monoclinic
formation enthalpy at 0 K = 0.1120 eV per atom

=====

Density
In order: 6.2; 6.4; 6.8; 7.3; 7.0; 6.3; 7.2; 5.7; 7.0; 7.1; 7.1; 7.1
Unit: g/cm3
Uncorrected energy
In order: -4.74; -5.89; -6.05; -5.99; -6.00; -6.04; -5.96; -5.42; -4.76; -4.73; -4.78; -4.63
Unit: eV per atom